Compound: Hf3Hg
Source: the Alexandria database
Functional: PBE
Structure: relaxed

```
Hf3Hg
1.0
-2.457 -1.364 -1.468
3.047 -0.806 -4.352
1.128 -3.455 4.747
Hf Hg
3 1
direct
0.260 0.610 0.520
0.500 0.469 0.000
0.740 0.090 0.480
0.000 0.997 0.000
```

Properties
Crystal system   orthorhombic
Raw total energy   -7.535 eV/atom
Formation energy from the elements   0.01 eV/atom